DFT (GGA-PBE) results for a relaxed ZnTe2P crystal.

Cell: 5.7003 5.7003 3.0430 Å, 92.42 92.42 90.02°
Closest atoms and distances in Å follow each position.
Atoms (fractional coordinates):
Zn: 0.0000 0.0000 0.0000  4 Te 2.85, 2 Zn 3.04
Te: 0.0000 0.5000 0.0000  2 Zn 2.85, 2 P 2.85, 2 Te 3.04
Te: 0.5000 0.0000 0.0000  2 Zn 2.85, 2 P 2.85, 2 Te 3.04
P: 0.5000 0.5000 0.0000  4 Te 2.85, 2 P 3.04

Calculated values
- Formation energy (no corrections): 21.0 kJ per mole of atoms
- Uncorrected energy: -3.0246 eV/atom
- Space-group type: C2/m, No. 12
- Polymorph energy (0 for the lowest one): 187 meV/atom
- Size of the total moment: 0.000 μB/f.u.
- D(E_F): 0.423 states/eV/atom

DFT (GGA-PBE) results for a relaxed RbSrCdSe2 crystal.

Cell: 7.9931 5.5235 8.8254 Å, 90.00 99.13 90.00°
Closest atoms and distances in Å follow each position.
Atoms (fractional coordinates):
Rb: 0.0000 0.1474 0.2500  6 Se 3.62-3.84
Rb: 0.0000 0.8526 0.7500  6 Se 3.62-3.84
Sr: 0.5000 0.4925 0.7500  4 Se 3.07
Sr: 0.5000 0.5075 0.2500  4 Se 3.07
Cd: 0.5000 0.0000 0.0000  2 Se 2.67
Cd: 0.5000 0.0000 0.5000  2 Se 2.67
Se: 0.2558 0.3349 0.9667  1 Cd 2.67
Se: 0.2558 0.6651 0.4667  1 Cd 2.67
Se: 0.7442 0.3349 0.5333  1 Cd 2.67
Se: 0.7442 0.6651 0.0333  1 Cd 2.67

Calculated values
- Formation energy (no corrections): -94.0 kJ per mole of atoms
- Uncorrected energy: -3.0813 eV/atom
- Space-group type: P2/c, No. 13
- Size of the total moment: 0.000 μB/f.u.
- D(E_F): 0.528 states/eV/atom

DFT (GGA-PBE) results for a relaxed ZnSiI2O crystal.

Cell: 5.6769 5.6769 3.5488 Å, 90.00 90.00 90.00°
Closest atoms and distances in Å follow each position.
Atoms (fractional coordinates):
Zn: 0.0000 0.0000 0.0000  8 I 3.35, 2 Zn 3.55
Si: 0.5000 0.5000 0.5000  2 O 1.77
I: 0.0000 0.5000 0.5000  2 Si 2.84
I: 0.5000 0.0000 0.5000  2 Si 2.84
O: 0.5000 0.5000 0.0000  2 Si 1.77

Calculated values
- Formation energy (no corrections): -29.2 kJ per mole of atoms
- Uncorrected energy: -3.2537 eV/atom
- Space-group type: P4/mmm, No. 123
- Polymorph energy (0 for the lowest one): 0 meV/atom
- Size of the total moment: 0.000 μB/f.u.
- D(E_F): 0.375 states/eV/atom

DFT (GGA-PBE) results for a relaxed Nb2Al2Se crystal.

Cell: 6.8057 6.8057 3.9530 Å, 90.00 90.00 90.00°
Closest atoms and distances in Å follow each position.
Atoms (fractional coordinates):
Nb: 0.1633 0.3367 0.0000  2 Se 2.55, 6 Al 2.76-2.85
Nb: 0.3367 0.8367 0.0000  2 Se 2.55, 6 Al 2.76-2.85
Nb: 0.6633 0.1633 0.0000  2 Se 2.55, 6 Al 2.76-2.85
Nb: 0.8367 0.6633 0.0000  2 Se 2.55, 6 Al 2.76-2.85
Al: 0.1363 0.6363 0.5000  1 Al 2.62, 6 Nb 2.76-2.85
Al: 0.3637 0.1363 0.5000  1 Al 2.62, 6 Nb 2.76-2.85
Al: 0.6363 0.8637 0.5000  1 Al 2.62, 6 Nb 2.76-2.85
Al: 0.8637 0.3637 0.5000  1 Al 2.62, 6 Nb 2.76-2.85
Se: 0.0000 0.0000 0.0000  4 Nb 2.55
Se: 0.5000 0.5000 0.0000  4 Nb 2.55

Calculated values
- Formation energy (no corrections): -15.7 kJ per mole of atoms
- Uncorrected energy: -6.3843 eV/atom
- Space-group type: P4/mbm, No. 127
- Size of the total moment: 0.000 μB/f.u.
- D(E_F): 0.721 states/eV/atom

DFT (GGA-PBE) results for a relaxed CeHoPuPa crystal.

Cell: 5.3605 5.3605 5.3605 Å, 60.00 60.00 60.00°
Closest atoms and distances in Å follow each position.
Atoms (fractional coordinates):
Ce: 0.0000 0.0000 0.0000  4 Ho 3.28, 4 Pa 3.28
Ho: 0.2500 0.2500 0.2500  4 Pu 3.28, 4 Ce 3.28
Pu: 0.5000 0.5000 0.5000  4 Pa 3.28, 4 Ho 3.28
Pa: 0.7500 0.7500 0.7500  4 Pu 3.28, 4 Ce 3.28

Calculated values
- Uncorrected energy: -8.2841 eV/atom
- Space-group type: F-43m, No. 216
- E_form: 0.301 eV/atom
- Size of the total moment: 8.814 μB/f.u.
- D(E_F): 2.785 states/eV/atom

DFT (GGA-PBE) results for a relaxed KTiGe2Te crystal.

Cell: 4.9673 4.9673 6.2403 Å, 90.00 90.00 90.00°
Closest atoms and distances in Å follow each position.
Atoms (fractional coordinates):
K: 0.0000 0.0000 0.0000  2 Ti 3.12
Ti: 0.0000 0.0000 0.5000  4 Ge 2.48
Ge: 0.0000 0.5000 0.5000  2 Ti 2.48
Ge: 0.5000 0.0000 0.5000  2 Ti 2.48
Te: 0.5000 0.5000 0.0000  4 K 3.51

Calculated values
- Formation energy (no corrections): 40.3 kJ per mole of atoms
- Uncorrected energy: -3.8558 eV/atom
- Space-group type: P4/mmm, No. 123
- Size of the total moment: 0.549 μB/f.u.
- D(E_F): 1.235 states/eV/atom

DFT (GGA-PBE) results for a relaxed CoAg2BCl crystal.

Cell: 4.9737 4.9737 4.0608 Å, 90.00 90.00 90.00°
Closest atoms and distances in Å follow each position.
Atoms (fractional coordinates):
Co: 0.0000 0.0000 0.0000  2 Cl 2.03
Ag: 0.0000 0.5000 0.5000  2 Cl 2.49
Ag: 0.5000 0.0000 0.5000  2 Cl 2.49
B: 0.5000 0.5000 0.0000  8 Ag 3.21, 4 Co 3.52
Cl: 0.0000 0.0000 0.5000  2 Co 2.03

Calculated values
- Formation energy (no corrections): 150.5 kJ per mole of atoms
- Uncorrected energy: -2.7062 eV/atom
- Space-group type: P4/mmm, No. 123
- Size of the total moment: 1.197 μB/f.u.
- D(E_F): 0.756 states/eV/atom

DFT (GGA-PBE) results for a relaxed KBe2P crystal.

Cell: 5.8075 5.8075 2.4948 Å, 90.00 90.00 119.76°
Closest atoms and distances in Å follow each position.
Atoms (fractional coordinates):
K: 0.0000 0.0000 0.0000  2 K 2.49
Be: 0.0000 0.5000 0.5000  2 Be 2.49
Be: 0.5000 0.0000 0.5000  2 Be 2.49
P: 0.5000 0.5000 0.0000  2 P 2.49

Calculated values
- Uncorrected energy: -2.3558 eV/atom
- Space-group type: Cmmm, No. 65
- E_form: 1.134 eV/atom
- Size of the total moment: 0.000 μB/f.u.
- D(E_F): 0.469 states/eV/atom

DFT (GGA-PBE) results for a relaxed KMnZn2 crystal.

Cell: 5.0159 5.0159 5.0159 Å, 60.00 60.00 60.00°
Closest atoms and distances in Å follow each position.
Atoms (fractional coordinates):
K: 0.0000 0.0000 0.0000  8 Zn 3.07
Mn: 0.5000 0.5000 0.5000  8 Zn 3.07
Zn: 0.2500 0.2500 0.2500  4 Mn 3.07, 4 K 3.07
Zn: 0.7500 0.7500 0.7500  4 Mn 3.07, 4 K 3.07

Calculated values
- Uncorrected energy: -2.6410 eV/atom
- Space-group type: Fm-3m, No. 225
- Polymorph energy (0 for the lowest one): 287 meV/atom
- E_form: 0.563 eV/atom
- Size of the total moment: 4.031 μB/f.u.
- D(E_F): 0.589 states/eV/atom

DFT (GGA-PBE) results for a relaxed YTaIr crystal.

Cell: 4.3018 4.3018 4.3245 Å, 90.00 90.00 120.00°
Closest atoms and distances in Å follow each position.
Atoms (fractional coordinates):
Y: 0.0000 0.0000 0.0000  6 Ir 3.18-3.41, 6 Ta 3.27-3.32
Ta: 0.3333 0.6667 0.5097  3 Ir 2.49
Ir: 0.6667 0.3333 0.4606  3 Ta 2.49

Calculated values
- Uncorrected energy: -9.3143 eV/atom
- Space-group type: P3m1, No. 156
- Polymorph energy (0 for the lowest one): 322 meV/atom
- E_form: -0.255 eV/atom
- Size of the total moment: 0.000 μB/f.u.
- D(E_F): 0.932 states/eV/atom

DFT (GGA-PBE) results for a relaxed Sr2UVN5 crystal.

Cell: 7.2980 7.2980 11.0733 Å, 90.00 90.00 152.71°
Closest atoms and distances in Å follow each position.
Atoms (fractional coordinates):
Sr: 0.1054 0.8946 0.5000  5 N 2.60-2.78
Sr: 0.1348 0.8652 0.0967  5 N 2.56-2.77
Sr: 0.8652 0.1348 0.5967  5 N 2.56-2.77
Sr: 0.8946 0.1054 0.0000  5 N 2.60-2.78
U: 0.2118 0.7882 0.8116  6 N 2.15-2.32
U: 0.7882 0.2118 0.3116  6 N 2.15-2.32
V: 0.4983 0.5017 0.2657  2 N 1.72-1.84
V: 0.5017 0.4983 0.7657  2 N 1.72-1.84
N: 0.0485 0.9515 0.8221  2 V 1.95
N: 0.2835 0.7165 0.4304  2 U 2.17
N: 0.2974 0.7026 0.1966  2 U 2.15
N: 0.3754 0.6246 0.8048  1 V 1.84
N: 0.4986 0.5014 0.6105  1 V 1.72
N: 0.5014 0.4986 0.1105  1 V 1.72
N: 0.6246 0.3754 0.3048  1 V 1.84
N: 0.7026 0.2974 0.6966  2 U 2.15
N: 0.7165 0.2835 0.9304  2 U 2.17
N: 0.9515 0.0485 0.3221  2 V 1.95

Calculated values
- Formation energy (no corrections): -109.1 kJ per mole of atoms
- Uncorrected energy: -8.3967 eV/atom
- Space-group type: Cmc2_1, No. 36
- Size of the total moment: 0.000 μB/f.u.

DFT (GGA-PBE) results for a relaxed HfReAg3 crystal.

Cell: 4.9252 4.9252 4.9252 Å, 90.00 90.00 90.00°
Closest atoms and distances in Å follow each position.
Atoms (fractional coordinates):
Hf: 0.0000 0.0000 0.0000  12 Ag 3.48
Re: 0.5000 0.5000 0.5000  6 Ag 2.46
Ag: 0.0000 0.5000 0.5000  2 Re 2.46
Ag: 0.5000 0.0000 0.5000  2 Re 2.46
Ag: 0.5000 0.5000 0.0000  2 Re 2.46

Calculated values
- Uncorrected energy: -4.4663 eV/atom
- Space-group type: Pm-3m, No. 221
- Polymorph energy (0 for the lowest one): 0 meV/atom
- E_form: 1.725 eV/atom
- Size of the total moment: 0.000 μB/f.u.
- D(E_F): 1.028 states/eV/atom

DFT (GGA-PBE) results for a relaxed PmNd2MnN4 crystal.

Cell: 6.1543 6.1543 12.1277 Å, 90.00 90.00 147.04°
Closest atoms and distances in Å follow each position.
Atoms (fractional coordinates):
Pm: 0.1067 0.8933 0.7500  6 N 2.63-2.78
Pm: 0.8933 0.1067 0.2500  6 N 2.63-2.78
Nd: 0.3686 0.6314 0.5452  6 N 2.40-2.66
Nd: 0.3686 0.6314 0.9548  6 N 2.40-2.66
Nd: 0.6314 0.3686 0.0452  6 N 2.40-2.66
Nd: 0.6314 0.3686 0.4548  6 N 2.40-2.66
Mn: 0.1654 0.8346 0.2500  4 N 1.88-2.04
Mn: 0.8346 0.1654 0.7500  4 N 1.88-2.04
N: 0.0000 0.0000 0.0000  4 Nd 2.40
N: 0.0000 0.0000 0.5000  4 Nd 2.40
N: 0.2738 0.7262 0.1364  1 Mn 1.88
N: 0.2738 0.7262 0.3636  1 Mn 1.88
N: 0.4233 0.5767 0.7500  2 Mn 2.04
N: 0.5767 0.4233 0.2500  2 Mn 2.04
N: 0.7262 0.2738 0.6364  1 Mn 1.88
N: 0.7262 0.2738 0.8636  1 Mn 1.88

Calculated values
- Formation energy (no corrections): -93.9 kJ per mole of atoms
- Uncorrected energy: -8.0676 eV/atom
- Space-group type: Cmcm, No. 63
- Size of the total moment: 3.543 μB/f.u.
- D(E_F): 0.430 states/eV/atom